A relaxed structure of Ac2AgTe, computed with PBE.

Values from the calculation:
* total magnetic moment: 0.00 μB/cell
* E_form (uncorrected): -77.2 kJ per mole of atoms
* distance to the lowest polymorph of the same formula: 41.8 meV per atom

a b c (Å): 8.578 8.578 8.578
angles (deg): 30.86 30.86 30.86
Fractional coordinates of all 4 atoms:
Ac (0.246, 0.246, 0.246)
Ac (0.754, 0.754, 0.754)
Ag (0.500, 0.500, 0.500)
Te (0.000, 0.000, 0.000)